Entry 1:
SrSiGe3: optimized geometry, PBE.

Unit cell a=5.5436 b=5.5436 c=5.5436 alpha=90.00 beta=90.00 gamma=90.00
Fractional positions:
Ge: 0.5000 0.0000 0.0000
Ge: 0.0000 0.5000 0.0000
Ge: 0.0000 0.0000 0.5000
Sr: 0.0000 0.0000 0.0000
Si: 0.5000 0.5000 0.5000

Summary:
* crystal system: cubic
* ΔE to the lowest computed polymorph: 7.01 eV per formula unit



Entry 2:
RuAuSe: optimized geometry, PBE.

Unit cell a=4.3419 b=4.3419 c=4.3419 alpha=60.00 beta=60.00 gamma=60.00
Each line ends with the local moment (μB).
Fractional positions:
Se: 0.0000 0.0000 0.0000  0.00
Ru: 0.7500 0.7500 0.7500  0.17
Au: 0.5000 0.5000 0.5000  0.03

Summary:
* crystal system: cubic
* ΔE to the lowest computed polymorph: 0.86 eV per formula unit



Entry 3:
LiPuMg2Hg4: optimized geometry, PBE.

Unit cell a=4.9677 b=4.9677 c=8.8840 alpha=73.76 beta=73.76 gamma=60.00
Each line ends with the local moment (μB).
Fractional positions:
Pu: 0.0000 0.0000 0.0000  5.44
Hg: 0.6154 0.6154 0.1538  0.03
Hg: 0.8710 0.8710 0.3871  0.01
Hg: 0.1290 0.1290 0.6129  0.01
Hg: 0.3846 0.3846 0.8462  0.03
Mg: 0.2472 0.2472 0.2585  0.00
Mg: 0.7528 0.7528 0.7415  0.00
Li: 0.5000 0.5000 0.5000  -0.01

Summary:
* crystal system: trigonal
* formation energy: -235 meV per atom



Computed values of M_tot (unit: μB per cell) for the preceding records, in sequence: 0.00; 0.20; 5.90.